(1)
! La8Dy4Er, optimized geometry, DFT PBE; values from VASP
&SYSTEM
  ibrav = 0, nat = 13, ntyp = 3
/
ATOMIC_SPECIES
La 138.91 La.upf
Dy 162.50 Dy.upf
Er 167.26 Er.upf
ATOMIC_POSITIONS crystal
La 0.2093 0.2093 0.2093
La 0.2087 0.7524 0.7524
La 0.2476 0.2476 0.7913
La 0.2476 0.7913 0.2476
La 0.7524 0.2087 0.7524
La 0.7524 0.7524 0.2087
La 0.7913 0.2476 0.2476
La 0.7907 0.7907 0.7907
Dy 0.0000 0.0000 0.0000
Dy 0.0000 0.5000 0.5000
Dy 0.5000 0.0000 0.5000
Dy 0.5000 0.5000 0.0000
Er 0.5000 0.5000 0.5000
CELL_PARAMETERS angstrom
3.6150 2.0871 10.0865
-3.6150 2.0871 10.0865
0.0000 -4.1742 10.0865
! DOS(E_F) (states/eV per cell): 16.4
! Mass density (Mg/m³): 7.01
! Energy relative to the elements (eV/f.u.): 2.15
! SG: R-3m (166)

***

(2)
! La6DyEr, optimized geometry, DFT PBE; values from VASP
&SYSTEM
  ibrav = 0, nat = 8, ntyp = 3
/
ATOMIC_SPECIES
La 138.91 La.upf
Dy 162.50 Dy.upf
Er 167.26 Er.upf
ATOMIC_POSITIONS crystal
La 0.0000 0.0000 0.0000
La 0.0000 0.0000 0.5000
La 0.0000 0.5000 0.2505
La 0.0000 0.5000 0.7495
La 0.5000 0.0000 0.2505
La 0.5000 0.0000 0.7495
Dy 0.5000 0.5000 0.0000
Er 0.5000 0.5000 0.5000
CELL_PARAMETERS angstrom
5.1990 0.0000 0.0000
0.0000 5.1990 0.0000
0.0000 0.0000 10.3892
! DOS(E_F) (states/eV per cell): 10.1
! Mass density (Mg/m³): 6.88
! ΔE to the lowest computed polymorph (meV per atom): 0
! Energy relative to the elements (eV/f.u.): 0.06
! SG: P4/mmm (123)

***

(3)
! LaDy4Er, optimized geometry, DFT PBE; values from VASP
&SYSTEM
  ibrav = 0, nat = 12, ntyp = 3
/
ATOMIC_SPECIES
La 138.91 La.upf
Dy 162.50 Dy.upf
Er 167.26 Er.upf
ATOMIC_POSITIONS crystal
La 0.0000 0.0000 0.0000
La 0.5000 0.5000 0.0000
Dy 0.1878 0.0000 0.8413
Dy 0.1936 0.0000 0.3481
Dy 0.3064 0.5000 0.6519
Dy 0.3122 0.5000 0.1587
Dy 0.6878 0.5000 0.8413
Dy 0.6936 0.5000 0.3481
Dy 0.8064 0.0000 0.6519
Dy 0.8122 0.0000 0.1587
Er 0.0000 0.0000 0.5000
Er 0.5000 0.5000 0.5000
CELL_PARAMETERS angstrom
11.6398 0.0000 0.0000
0.0000 3.4286 0.0000
-5.7185 0.0000 10.0144
! DOS(E_F) (states/eV per cell): 27.0
! Mass density (Mg/m³): 7.95
! ΔE to the lowest computed polymorph (meV per atom): 3
! Energy relative to the elements (eV/f.u.): 1.22
! SG: C2/m (12)

***

(4)
! La3Dy8Er2, optimized geometry, DFT PBE; values from VASP
&SYSTEM
  ibrav = 0, nat = 13, ntyp = 3
/
ATOMIC_SPECIES
La 138.91 La.upf
Dy 162.50 Dy.upf
Er 167.26 Er.upf
ATOMIC_POSITIONS crystal
La 0.0000 0.0000 0.0000
La 0.2988 0.7012 0.5000
La 0.7012 0.2988 0.5000
Dy 0.1373 0.1373 0.4991
Dy 0.1818 0.5975 0.9997
Dy 0.3257 0.3257 0.4986
Dy 0.4025 0.8182 0.0003
Dy 0.5975 0.1818 0.9997
Dy 0.6743 0.6743 0.5014
Dy 0.8182 0.4025 0.0003
Dy 0.8627 0.8627 0.5009
Er 0.2409 0.2409 0.9982
Er 0.7591 0.7591 0.0018
CELL_PARAMETERS angstrom
10.0605 -3.8790 0.0000
10.0605 3.8790 0.0000
-0.0066 0.0000 5.6594
! DOS(E_F) (states/eV per cell): 21.3
! Mass density (Mg/m³): 7.71
! Energy relative to the elements (eV/f.u.): 3.22
! SG: C2/m (12)

***

Q: The lowest mass density belongs to which entry?
A: La6DyEr